The following is a DFT calculation (PBE) of an optimized crystal structure of Sm3Mg3IrPd2.

- size of the total moment (μB per atom) = 0.001
- energy (eV per cell) = -43.870

a = 7.449 Å, b = 7.449 Å, c = 4.159 Å
α = 90.00°, β = 90.00°, γ = 120.00°
Atoms (fractional coordinates):
1 Sm 0.000 0.405 0.000
2 Mg 0.239 0.239 0.500
3 Sm 0.595 0.595 0.000
4 Mg 0.000 0.761 0.500
5 Ir 0.000 0.000 0.000
6 Pd 0.667 0.333 0.500
7 Mg 0.761 0.000 0.500
8 Sm 0.405 0.000 0.000
9 Pd 0.333 0.667 0.500

The following is a DFT calculation (PBE) of an optimized crystal structure of Cs2TlNiCl6.

- size of the total moment (μB per atom) = 0.100
- energy (eV per cell) = -33.057

a = 7.402 Å, b = 7.402 Å, c = 7.402 Å
α = 59.99°, β = 59.99°, γ = 59.99°
Site moments in Bohr magnetons follow the coordinates.
Atoms (fractional coordinates):
1 Tl 0.500 0.500 0.500  -0.04
2 Cl 0.775 0.229 0.220  0.02
3 Cs 0.749 0.749 0.749  0.00
4 Cl 0.229 0.220 0.775  0.00
5 Cl 0.224 0.771 0.779  0.02
6 Cl 0.779 0.224 0.771  0.03
7 Cl 0.771 0.779 0.224  0.00
8 Cl 0.220 0.775 0.229  0.03
9 Cs 0.250 0.250 0.250  0.00
10 Ni 0.000 0.000 0.000  0.88

The following is a DFT calculation (PBE) of an optimized crystal structure of PaIO6.

- size of the total moment (μB per atom) = 0.000
- energy (eV per cell) = -51.617

a = 5.244 Å, b = 5.244 Å, c = 5.620 Å
α = 62.20°, β = 62.19°, γ = 60.01°
Atoms (fractional coordinates):
1 O 0.646 0.228 0.230
2 Pa 0.500 0.500 0.500
3 O 0.104 0.354 0.770
4 O 0.354 0.772 0.770
5 I 0.000 0.000 0.000
6 O 0.772 0.104 0.770
7 O 0.228 0.896 0.230
8 O 0.896 0.646 0.230

The following is a DFT calculation (PBE) of an optimized crystal structure of HoEr2Ga3FeGe2.

- size of the total moment (μB per atom) = 0.002
- energy (eV per cell) = -46.121

a = 4.124 Å, b = 6.940 Å, c = 6.940 Å
α = 120.06°, β = 90.00°, γ = 90.00°
Atoms (fractional coordinates):
1 Ga 0.500 0.226 0.226
2 Ga 0.500 0.774 0.000
3 Ge 0.500 0.333 0.667
4 Ge 0.500 0.667 0.333
5 Ga 0.500 0.000 0.774
6 Ho 0.000 0.599 0.599
7 Er 0.000 0.401 0.000
8 Er 0.000 0.000 0.401
9 Fe 0.000 0.001 0.001

The following is a DFT calculation (PBE) of an optimized crystal structure of Ba2TcWN6.

- size of the total moment (μB per atom) = 0.001
- energy (eV per cell) = -79.502

a = 5.740 Å, b = 5.740 Å, c = 5.740 Å
α = 120.06°, β = 120.06°, γ = 89.89°
Atoms (fractional coordinates):
1 N 0.250 0.250 0.000
2 Ba 0.250 0.750 0.500
3 N 0.750 0.750 0.000
4 N 0.747 0.251 0.998
5 N 0.253 0.749 0.002
6 Tc 0.500 0.500 0.000
7 W 0.000 0.000 0.000
8 Ba 0.750 0.250 0.500
9 N 0.749 0.747 0.497
10 N 0.251 0.253 0.503

The following is a DFT calculation (PBE) of an optimized crystal structure of BaNdBe.

- relative energy among the computed polymorphs (meV/atom) = 0
- size of the total moment (μB per atom) = 0.060
- energy (eV per cell) = -8.682

a = 5.254 Å, b = 5.254 Å, c = 5.254 Å
α = 60.00°, β = 60.00°, γ = 60.00°
Atoms (fractional coordinates):
1 Be 0.000 0.000 0.000
2 Ba 0.250 0.250 0.250
3 Nd 0.750 0.750 0.750

The following is a DFT calculation (PBE) of an optimized crystal structure of SrCdBi.

- relative energy among the computed polymorphs (meV/atom) = 0
- energy (eV per cell) = -7.819

a = 5.268 Å, b = 5.268 Å, c = 5.268 Å
α = 60.00°, β = 60.00°, γ = 60.00°
Atoms (fractional coordinates):
1 Bi 0.250 0.250 0.250
2 Cd 0.000 0.000 0.000
3 Sr 0.750 0.750 0.750

The following is a DFT calculation (PBE) of an optimized crystal structure of TbPrSi2I2.

- size of the total moment (μB per atom) = 0.001
- energy (eV per cell) = -29.630

a = 4.167 Å, b = 4.167 Å, c = 12.436 Å
α = 90.00°, β = 90.00°, γ = 120.00°
Atoms (fractional coordinates):
1 Pr 0.000 0.000 0.343
2 Si 0.333 0.667 0.512
3 I 0.667 0.333 0.821
4 Tb 0.000 0.000 0.657
5 Si 0.667 0.333 0.500
6 I 0.333 0.667 0.168